MgOsSe, optimized geometry, DFT GGA-PBEsol; total DFT energy (no corrections) = -5.77 eV per atom; D(E_F) = 2.65 states/eV per cell; M_tot = 0.00 μB per formula unit
1.0
-2.987 -0.286 -0.987
0.983 -3.655 -1.914
-1.330 -0.006 4.028
Mg Os Se
1 1 1
Direct
0.500 0.000 0.000
0.000 0.333 0.667
0.000 0.667 0.333

=====

Mg2OsSe, optimized geometry, DFT GGA-PBEsol; total DFT energy (no corrections) = -4.82 eV per atom; D(E_F) = 1.79 states/eV per cell; M_tot = 0.00 μB per formula unit
1.0
2.829 0.000 0.000
0.000 4.934 0.038
0.000 -1.444 4.718
Mg Os Se
2 1 1
Direct
0.000 0.000 0.500
0.000 0.500 0.000
0.500 0.500 0.500
0.500 0.000 0.000